Below is Sr2MgTeO6 after structural relaxation, with properties calculated at the PBEsol level.

Cell and atoms, written as extended XYZ:
```
10
Lattice="5.595 0.005 -0.003 -2.766 4.874 0.006 0.031 3.249 4.566" Properties=species:S:1:pos:R:3 pbc="T T T"
Mg 1.414 2.440 0.002
O 2.710 3.382 1.306
Sr 1.430 5.676 1.145
O 0.150 4.747 3.263
Te 4.227 4.067 2.283
O 4.068 2.593 3.520
Sr 1.430 2.453 3.424
O -0.179 3.015 1.184
O 3.038 5.113 3.386
O -1.208 5.536 1.049
```

formation energy without anion corrections = -2.367 eV per atom
density of states at the Fermi level = 0.00 states/eV/f.u.
total magnetization = 0.000 μB/f.u.
space-group type = C2/m (12)